1.
Entry from Alexandria: an optimized crystal structure of Ho2TcP (PBE).

Output
As for the formation energy: 128 meV/atom. As for the space group: No. 166. The calculated density comes out at 7.79 Mg/m³. The value obtained for the size of the total moment is 0.77 μB/f.u.

abc: 8.9058 8.9058 8.9058
angles: 23.40 23.40 23.40
Closest atoms and distances in Å follow each position.
Atoms (fractional coordinates):
Ho 0.1009 0.1009 0.1009  1 Tc 2.62, 3 P 2.70
Ho 0.8991 0.8991 0.8991  1 Tc 2.62, 3 P 2.70
Tc 0.0000 0.0000 0.0000  2 Ho 2.62
P 0.5000 0.5000 0.5000  6 Ho 2.70



2.
Entry from Alexandria: an optimized crystal structure of Pm8YIn2 (PBE).

Output
As for the formation energy: -60 meV/atom. As for the space group: No. 12. The calculated density comes out at 6.80 Mg/m³. The value obtained for the size of the total moment is 0.00 μB/f.u.

abc: 9.0051 9.0051 5.8563
angles: 103.75 103.75 120.16
Closest atoms and distances in Å follow each position.
Atoms (fractional coordinates):
Pm 0.0947 0.3263 0.6335  2 In 3.28-3.42, 6 Pm 3.33-3.62
Pm 0.2162 0.7838 0.0000  2 In 3.25, 1 Y 3.37, 4 Pm 3.60-3.62
Pm 0.3263 0.0947 0.6335  2 In 3.28-3.42, 6 Pm 3.33-3.62
Pm 0.4114 0.4114 0.2080  1 Pm 3.01, 1 Y 3.29
Pm 0.5886 0.5886 0.7920  1 Pm 3.01, 1 Y 3.29
Pm 0.6737 0.9053 0.3665  2 In 3.28-3.42, 6 Pm 3.33-3.62
Pm 0.7838 0.2162 0.0000  2 In 3.25, 1 Y 3.37, 4 Pm 3.60-3.62
Pm 0.9053 0.6737 0.3665  2 In 3.28-3.42, 6 Pm 3.33-3.62
Y 0.0000 0.0000 0.0000  4 Pm 3.29-3.37
In 0.3069 0.6931 0.5000  8 Pm 3.25-3.42
In 0.6931 0.3069 0.5000  8 Pm 3.25-3.42



3.
Entry from Alexandria: an optimized crystal structure of CoNi2Cl (PBE).

Output
The calculation puts the raw formation energy at 0.335 eV per atom. As for the space group: No. 99. The calculated density comes out at 6.68 Mg/m³. The value obtained for the size of the total moment is 3.29 μB/f.u.

abc: 2.9473 2.9473 6.0593
angles: 90.00 90.00 90.00
Closest atoms and distances in Å follow each position.
Atoms (fractional coordinates):
Co 0.0000 0.0000 0.0000  5 Ni 2.43-2.54, 4 Cl 2.71
Ni 0.0000 0.0000 0.4184  4 Ni 2.45, 1 Co 2.54
Ni 0.5000 0.5000 0.2060  4 Co 2.43, 4 Ni 2.45
Cl 0.5000 0.5000 0.7144  4 Co 2.71, 5 Ni 2.75-2.98, 4 Cl 2.95



4.
Entry from Alexandria: an optimized crystal structure of RbErTeS (PBE).

Output
The calculation puts the raw formation energy at -1.548 eV per atom. As for the space group: No. 160. The calculated density comes out at 5.32 Mg/m³. The value obtained for the size of the total moment is 0.00 μB/f.u.

abc: 8.6692 8.6692 8.6692
angles: 28.22 28.22 28.22
Closest atoms and distances in Å follow each position.
Atoms (fractional coordinates):
Rb 0.0000 0.0000 0.0000  3 S 3.50, 3 Te 3.57, 1 Er 3.87
Er 0.1551 0.1551 0.1551  3 S 2.79, 3 Te 3.06
Te 0.5622 0.5622 0.5622  3 Er 3.06
S 0.7673 0.7673 0.7673  3 Er 2.79



5.
Entry from Alexandria: an optimized crystal structure of Na3In3Pb (PBE).

Output
As for the formation energy: -73 meV/atom. As for the space group: No. 148. The calculated density comes out at 5.02 Mg/m³. The value obtained for the size of the total moment is 0.00 μB/f.u.

abc: 8.4395 8.4395 8.4395
angles: 58.48 58.48 58.48
Closest atoms and distances in Å follow each position.
Atoms (fractional coordinates):
Na 0.0590 0.2206 0.5706  4 In 3.19-3.33, 2 Pb 3.46-3.53, 2 Na 3.49
Na 0.2206 0.5706 0.0590  4 In 3.19-3.33, 2 Pb 3.46-3.53, 2 Na 3.49
Na 0.4294 0.9410 0.7794  4 In 3.19-3.33, 2 Pb 3.46-3.53, 2 Na 3.49
Na 0.5706 0.0590 0.2206  4 In 3.19-3.33, 2 Pb 3.46-3.53, 2 Na 3.49
Na 0.7794 0.4294 0.9410  4 In 3.19-3.33, 2 Pb 3.46-3.53, 2 Na 3.49
Na 0.9410 0.7794 0.4294  4 In 3.19-3.33, 2 Pb 3.46-3.53, 2 Na 3.49
In 0.2246 0.4204 0.6798  4 In 3.08-3.26, 4 Na 3.19-3.33, 1 Pb 3.30
In 0.3202 0.7754 0.5796  4 In 3.08-3.26, 4 Na 3.19-3.33, 1 Pb 3.30
In 0.4204 0.6798 0.2246  4 In 3.08-3.26, 4 Na 3.19-3.33, 1 Pb 3.30
In 0.5796 0.3202 0.7754  4 In 3.08-3.26, 4 Na 3.19-3.33, 1 Pb 3.30
In 0.6798 0.2246 0.4204  4 In 3.08-3.26, 4 Na 3.19-3.33, 1 Pb 3.30
In 0.7754 0.5796 0.3202  4 In 3.08-3.26, 4 Na 3.19-3.33, 1 Pb 3.30
Pb 0.1537 0.1537 0.1537  6 In 3.30-3.70, 6 Na 3.46-3.53
Pb 0.8463 0.8463 0.8463  6 In 3.30-3.70, 6 Na 3.46-3.53



6.
Entry from Alexandria: an optimized crystal structure of NpAsO (PBE).

Output
The calculation puts the raw formation energy at -1.502 eV per atom. As for the space group: No. 12. The calculated density comes out at 10.16 Mg/m³. The value obtained for the size of the total moment is 3.02 μB/f.u.

abc: 3.8770 3.8770 7.1832
angles: 94.71 94.71 91.13
Closest atoms and distances in Å follow each position.
Atoms (fractional coordinates):
Np 0.1291 0.1291 0.2007  2 O 2.16
Np 0.8709 0.8709 0.7993  2 O 2.16
As 0.3651 0.3651 0.6244  1 As 2.44
As 0.6349 0.6349 0.3756  1 As 2.44
O 0.0000 0.5000 0.0000  2 Np 2.16
O 0.5000 0.0000 0.0000  2 Np 2.16



7.
Entry from Alexandria: an optimized crystal structure of LuGaTc4 (PBE).

Output
As for the formation energy: 0 meV/atom. As for the space group: No. 216. The calculated density comes out at 10.42 Mg/m³. The value obtained for the size of the total moment is 0.00 μB/f.u.

abc: 5.2352 5.2352 5.2352
angles: 60.00 60.00 60.00
Closest atoms and distances in Å follow each position.
Atoms (fractional coordinates):
Lu 0.0000 0.0000 0.0000  12 Tc 3.07, 4 Ga 3.21
Ga 0.7500 0.7500 0.7500  12 Tc 3.07, 4 Lu 3.21
Tc 0.3760 0.3760 0.3760  6 Tc 2.60-2.64
Tc 0.3760 0.3760 0.8720  6 Tc 2.60-2.64
Tc 0.3760 0.8720 0.3760  6 Tc 2.60-2.64
Tc 0.8720 0.3760 0.3760  6 Tc 2.60-2.64



8.
Entry from Alexandria: an optimized crystal structure of Zn4NiIr (PBE).

Output
As for the formation energy: 25 meV/atom. As for the space group: No. 10. The calculated density comes out at 8.66 Mg/m³. The value obtained for the size of the total moment is 0.00 μB/f.u.

abc: 4.1128 4.1191 5.8003
angles: 90.00 90.26 90.00
Closest atoms and distances in Å follow each position.
Atoms (fractional coordinates):
Zn 0.0016 0.0000 0.2411  2 Ni 2.49, 2 Ir 2.55
Zn 0.4982 0.5000 0.2401  2 Ni 2.49, 2 Ir 2.55
Zn 0.5018 0.5000 0.7599  2 Ni 2.49, 2 Ir 2.55
Zn 0.9984 0.0000 0.7589  2 Ni 2.49, 2 Ir 2.55
Ni 0.5000 0.0000 0.0000  8 Zn 2.49
Ir 0.0000 0.5000 0.5000  8 Zn 2.55



9.
Entry from Alexandria: an optimized crystal structure of Al2PbN4 (PBE).

Output
The calculation puts the raw formation energy at 1.196 eV per atom. As for the space group: No. 139. The calculated density comes out at 5.40 Mg/m³. The value obtained for the size of the total moment is 2.23 μB/f.u.

abc: 6.1500 6.1500 6.1500
angles: 139.43 139.43 58.71
Closest atoms and distances in Å follow each position.
Atoms (fractional coordinates):
Al 0.1190 0.1190 0.0000  1 N 1.78
Al 0.8810 0.8810 0.0000  1 N 1.78
Pb 0.5000 0.5000 0.0000  6 N 2.13-2.30
N 0.0000 0.5000 0.5000  2 Pb 2.13
N 0.2853 0.2853 0.0000  1 Al 1.78
N 0.5000 0.0000 0.5000  2 Pb 2.13
N 0.7147 0.7147 0.0000  1 Al 1.78



10.
Entry from Alexandria: an optimized crystal structure of NiSbBr (PBE).

Output
The calculation puts the raw formation energy at 0.335 eV per atom. As for the space group: No. 216. The calculated density comes out at 6.38 Mg/m³. The value obtained for the size of the total moment is 0.00 μB/f.u.

abc: 4.5752 4.5752 4.5752
angles: 60.00 60.00 60.00
Closest atoms and distances in Å follow each position.
Atoms (fractional coordinates):
Ni 0.0000 0.0000 0.0000  4 Sb 2.80, 4 Br 2.80
Sb 0.2500 0.2500 0.2500  4 Ni 2.80
Br 0.7500 0.7500 0.7500  4 Ni 2.80



11.
Entry from Alexandria: an optimized crystal structure of NdScAl2Ga2 (PBE).

Output
As for the formation energy: -562 meV/atom. As for the space group: No. 164. The calculated density comes out at 5.26 Mg/m³. The value obtained for the size of the total moment is 0.00 μB/f.u.

abc: 4.4734 4.4734 6.9633
angles: 90.00 90.00 120.00
Closest atoms and distances in Å follow each position.
Atoms (fractional coordinates):
Nd 0.0000 0.0000 0.0000  6 Ga 3.24, 6 Al 3.24, 2 Sc 3.48
Sc 0.0000 0.0000 0.5000  6 Al 3.00, 6 Ga 3.00
Al 0.3333 0.6667 0.7189  3 Ga 2.58
Al 0.6667 0.3333 0.2811  3 Ga 2.58
Ga 0.3333 0.6667 0.2798  3 Al 2.58
Ga 0.6667 0.3333 0.7202  3 Al 2.58



12.
Entry from Alexandria: an optimized crystal structure of CePu5Ir5 (PBE).

Output
As for the formation energy: -392 meV/atom. As for the space group: No. 12. The calculated density comes out at 14.45 Mg/m³. The value obtained for the size of the total moment is 24.97 μB/f.u.

abc: 6.9486 6.9486 7.8552
angles: 105.70 105.70 47.40
Closest atoms and distances in Å follow each position.
Atoms (fractional coordinates):
Ce 0.0000 0.0000 0.0000  6 Ir 2.79-2.97
Pu 0.0000 0.0000 0.5000  4 Ir 2.72-2.76
Pu 0.3243 0.3243 0.1555  5 Ir 2.80-2.85
Pu 0.3410 0.3410 0.6689  5 Ir 2.78-2.82
Pu 0.6590 0.6590 0.3311  5 Ir 2.78-2.82
Pu 0.6757 0.6757 0.8445  5 Ir 2.80-2.85
Ir 0.1630 0.1630 0.8145  5 Pu 2.72-2.85, 1 Ce 2.87
Ir 0.1710 0.1710 0.3514  5 Pu 2.76-2.82, 1 Ce 2.97
Ir 0.5000 0.5000 0.0000  4 Pu 2.78-2.85, 2 Ce 2.79
Ir 0.8290 0.8290 0.6486  5 Pu 2.76-2.82, 1 Ce 2.97
Ir 0.8370 0.8370 0.1855  5 Pu 2.72-2.85, 1 Ce 2.87



13.
Entry from Alexandria: an optimized crystal structure of Ba3Tl2Hg (PBE).

Output
As for the formation energy: -448 meV/atom. As for the space group: No. 65. The calculated density comes out at 7.28 Mg/m³. The value obtained for the size of the total moment is 0.00 μB/f.u.

abc: 9.5188 9.5188 4.2810
angles: 90.00 90.00 143.08
Closest atoms and distances in Å follow each position.
Atoms (fractional coordinates):
Ba 0.0000 0.0000 0.0000  4 Hg 3.70, 4 Tl 3.77
Ba 0.3374 0.6626 0.0000  2 Hg 3.63, 6 Tl 3.68-3.70
Ba 0.6626 0.3374 0.0000  2 Hg 3.63, 6 Tl 3.68-3.70
Tl 0.1717 0.8283 0.5000  8 Ba 3.68-3.77
Tl 0.8283 0.1717 0.5000  8 Ba 3.68-3.77
Hg 0.5000 0.5000 0.5000  8 Ba 3.63-3.70



14.
Entry from Alexandria: an optimized crystal structure of Tl3ZnPb (PBE).

Output
As for the formation energy: 498 meV/atom. As for the space group: No. 221. The calculated density comes out at 6.45 Mg/m³. The value obtained for the size of the total moment is 0.00 μB/f.u.

abc: 6.1086 6.1086 6.1086
angles: 90.00 90.00 90.00
Closest atoms and distances in Å follow each position.
Atoms (fractional coordinates):
Tl 0.0000 0.0000 0.5000  2 Pb 3.05
Tl 0.0000 0.5000 0.0000  2 Pb 3.05
Tl 0.5000 0.0000 0.0000  2 Pb 3.05
Zn 0.5000 0.5000 0.5000  12 Tl 4.32
Pb 0.0000 0.0000 0.0000  6 Tl 3.05



15.
Entry from Alexandria: an optimized crystal structure of TaTlI2 (PBE).

Output
The calculation puts the raw formation energy at 0.785 eV per atom. As for the space group: No. 225. The calculated density comes out at 10.21 Mg/m³. The value obtained for the size of the total moment is 0.00 μB/f.u.

abc: 5.2773 5.2773 5.2773
angles: 60.00 60.00 60.00
Closest atoms and distances in Å follow each position.
Atoms (fractional coordinates):
Ta 0.0000 0.0000 0.0000  8 I 3.23
Tl 0.5000 0.5000 0.5000  8 I 3.23
I 0.2500 0.2500 0.2500  4 Tl 3.23, 4 Ta 3.23
I 0.7500 0.7500 0.7500  4 Tl 3.23, 4 Ta 3.23



16.
Entry from Alexandria: an optimized crystal structure of Rb2NaB (PBE).

Output
As for the formation energy: 892 meV/atom. As for the space group: No. 122. The calculated density comes out at 1.66 Mg/m³. The value obtained for the size of the total moment is 2.00 μB/f.u.

abc: 9.1874 9.1874 9.1874
angles: 94.78 94.78 146.45
Closest atoms and distances in Å follow each position.
Atoms (fractional coordinates):
Rb 0.3750 0.2030 0.3280  2 B 3.32
Rb 0.7970 0.1250 0.1720  2 B 3.32
Rb 0.8750 0.0470 0.6720  2 B 3.32
Rb 0.9530 0.6250 0.8280  2 B 3.32
Na 0.2500 0.7500 0.5000  2 B 2.65
Na 0.5000 0.5000 0.0000  2 B 2.65
B 0.0000 0.0000 0.0000  2 Na 2.65
B 0.7500 0.2500 0.5000  2 Na 2.65



17.
Entry from Alexandria: an optimized crystal structure of Sr3Ac3Si4 (PBE).

Output
The calculation puts the raw formation energy at -0.471 eV per atom. As for the space group: No. 38. The calculated density comes out at 5.58 Mg/m³. The value obtained for the size of the total moment is 0.00 μB/f.u.

abc: 4.7563 8.1327 8.1327
angles: 89.25 90.00 90.00
Closest atoms and distances in Å follow each position.
Atoms (fractional coordinates):
Sr 0.0000 0.0000 0.0000  6 Si 3.38-3.52, 4 Sr 3.78
Sr 0.5000 0.3204 0.8298  4 Si 3.29-3.33
Sr 0.5000 0.8298 0.3204  4 Si 3.29-3.33
Ac 0.0000 0.1515 0.5026  6 Si 3.33-3.43
Ac 0.0000 0.5026 0.1515  6 Si 3.33-3.43
Ac 0.0000 0.6512 0.6512  6 Si 3.33-3.45
Si 0.5000 0.2240 0.2240  1 Si 2.45
Si 0.5000 0.4358 0.4358  1 Si 2.45
Si 0.5000 0.7142 0.9297  1 Si 2.46
Si 0.5000 0.9297 0.7142  1 Si 2.46



18.
Entry from Alexandria: an optimized crystal structure of RbCoAg2 (PBE).

Output
As for the formation energy: 952 meV/atom. As for the space group: No. 225. The calculated density comes out at 6.14 Mg/m³. The value obtained for the size of the total moment is 2.10 μB/f.u.

abc: 5.1636 5.1636 5.1636
angles: 60.00 60.00 60.00
Closest atoms and distances in Å follow each position.
Atoms (fractional coordinates):
Rb 0.0000 0.0000 0.0000  8 Ag 3.16
Co 0.5000 0.5000 0.5000  8 Ag 3.16
Ag 0.2500 0.2500 0.2500  4 Co 3.16, 4 Rb 3.16
Ag 0.7500 0.7500 0.7500  4 Co 3.16, 4 Rb 3.16



19.
Entry from Alexandria: an optimized crystal structure of ZnGaAs2Br (PBE).

Output
The calculation puts the raw formation energy at 0.384 eV per atom. As for the space group: No. 123. The calculated density comes out at 4.52 Mg/m³. The value obtained for the size of the total moment is 0.00 μB/f.u.

abc: 4.7966 4.7966 5.8295
angles: 90.00 90.00 90.00
Closest atoms and distances in Å follow each position.
Atoms (fractional coordinates):
Zn 0.0000 0.0000 0.0000  4 As 2.40
Ga 0.5000 0.5000 0.5000  4 Br 3.39, 8 As 3.77
As 0.0000 0.5000 0.0000  2 Zn 2.40
As 0.5000 0.0000 0.0000  2 Zn 2.40
Br 0.0000 0.0000 0.5000  2 Zn 2.91